# 1
This record from Alexandria describes a relaxed LaHo2Zr crystal. The functional is PBE-GGA.

Output
As for the energy of formation from the pure elements: 0.085 eV per atom.

Cell: 3.4692 3.4692 11.6054 Å, 81.40 81.40 60.00°
With the nearest neighbours (Å) after each atom.
Positions (direct):
La 0.5000 0.5000 0.5000  6 La 3.47, 6 Ho 3.68
Ho 0.7432 0.7432 0.7703  3 Zr 3.30, 6 Ho 3.47, 3 La 3.68
Ho 0.2568 0.2568 0.2297  3 Zr 3.30, 6 Ho 3.47, 3 La 3.68
Zr 0.0000 0.0000 0.0000  6 Ho 3.30, 6 Zr 3.47


# 2
This record from Alexandria describes a relaxed LaHoZr crystal. The functional is PBE-GGA.

Output
As for the energy of formation from the pure elements: 0.105 eV per atom.

Cell: 3.4031 3.4031 8.0523 Å, 102.20 102.20 90.00°
With the nearest neighbours (Å) after each atom.
Positions (direct):
Zr 0.6608 0.6608 0.3215  4 Ho 3.29, 4 Zr 3.40, 4 La 3.48
La 0.3245 0.3245 0.6491  4 La 3.40, 4 Zr 3.48, 4 Ho 3.79
Ho 0.0147 0.0147 0.0294  4 Zr 3.29, 4 Ho 3.40


# 3
This record from Alexandria describes a relaxed La2HoZr crystal. The functional is PBE-GGA.

Output
As for the energy of formation from the pure elements: 0.129 eV per atom.

Cell: 4.8822 5.0362 5.0362 Å, 90.00 90.00 90.00°
With the nearest neighbours (Å) after each atom.
Positions (direct):
La 0.0000 0.0000 0.5000  4 Zr 3.51, 4 Ho 3.51, 4 La 3.56
La 0.0000 0.5000 0.0000  4 Ho 3.51, 4 Zr 3.51, 4 La 3.56
Ho 0.5000 0.5000 0.5000  8 La 3.51, 4 Zr 3.56
Zr 0.5000 0.0000 0.0000  8 La 3.51, 4 Ho 3.56


# 4
This record from Alexandria describes a relaxed LaHoZr crystal. The functional is PBE-GGA.

Output
As for the energy of formation from the pure elements: 0.119 eV per atom.

Cell: 3.4595 3.4595 8.5119 Å, 90.00 90.00 120.00°
With the nearest neighbours (Å) after each atom.
Positions (direct):
Zr 0.6667 0.3333 0.3385  3 Ho 3.29, 3 La 3.39, 6 Zr 3.46
Ho 0.3333 0.6667 0.6451  3 Zr 3.29, 6 Ho 3.46
La 0.0000 0.0000 0.0165  3 Zr 3.39, 6 La 3.46, 3 Ho 3.74


# 5
This record from Alexandria describes a relaxed LaHo2Zr crystal. The functional is PBE-GGA.

Output
As for the energy of formation from the pure elements: 0.088 eV per atom.

Cell: 3.4743 3.4743 11.6093 Å, 81.39 81.39 60.00°
With the nearest neighbours (Å) after each atom.
Positions (direct):
Ho 0.0759 0.0759 0.7723  3 Zr 3.29, 6 Ho 3.47
Ho 0.2572 0.2572 0.2285  3 Zr 3.29, 6 Ho 3.47
La 0.5005 0.5005 0.4986  6 La 3.47, 6 Ho 3.68-3.72
Zr 0.6665 0.6665 0.0006  6 Ho 3.29, 6 Zr 3.47


# 6
This record from Alexandria describes a relaxed La2HoZr crystal. The functional is PBE-GGA.

Output
As for the energy of formation from the pure elements: 0.160 eV per atom.

Cell: 4.0937 4.0937 7.4349 Å, 90.00 90.00 90.00°
With the nearest neighbours (Å) after each atom.
Positions (direct):
Ho 0.5000 0.5000 0.5000  8 La 3.53, 2 Zr 3.72
La 0.0000 0.0000 0.7717  4 Zr 3.36, 1 La 3.40, 4 Ho 3.53
La 0.0000 0.0000 0.2283  4 Zr 3.36, 1 La 3.40, 4 Ho 3.53
Zr 0.5000 0.5000 0.0000  8 La 3.36, 2 Ho 3.72


# 7
This record from Alexandria describes a relaxed La2HoZr crystal. The functional is PBE-GGA.

Output
As for the energy of formation from the pure elements: 0.187 eV per atom.

Cell: 5.5907 5.5907 5.5907 Å, 60.00 60.00 60.00°
With the nearest neighbours (Å) after each atom.
Positions (direct):
Zr 0.5000 0.5000 0.5000  8 La 3.42
La 0.7500 0.7500 0.7500  4 Zr 3.42, 4 Ho 3.42
La 0.2500 0.2500 0.2500  4 Zr 3.42, 4 Ho 3.42
Ho 0.0000 0.0000 0.0000  8 La 3.42


# 8
This record from Alexandria describes a relaxed LaHo2Zr crystal. The functional is PBE-GGA.

Output
As for the energy of formation from the pure elements: 0.113 eV per atom.

Cell: 4.9395 4.9036 4.9036 Å, 90.00 90.00 90.00°
With the nearest neighbours (Å) after each atom.
Positions (direct):
Ho 0.0000 0.5000 0.0000  4 Ho 3.47, 4 La 3.48, 4 Zr 3.48
Ho 0.0000 0.0000 0.5000  4 Ho 3.47, 4 La 3.48, 4 Zr 3.48
Zr 0.5000 0.0000 0.0000  4 La 3.47, 8 Ho 3.48
La 0.5000 0.5000 0.5000  4 Zr 3.47, 8 Ho 3.48


# 9
This record from Alexandria describes a relaxed LaHoZr crystal. The functional is PBE-GGA.

Output
As for the energy of formation from the pure elements: 0.116 eV per atom.

Cell: 3.9313 3.9313 11.7329 Å, 90.00 90.00 90.00°
With the nearest neighbours (Å) after each atom.
Positions (direct):
Zr 0.0000 0.5000 0.9472  4 Zr 3.04, 1 La 3.22
Zr 0.5000 0.0000 0.0528  4 Zr 3.04, 1 La 3.22
Ho 0.0000 0.5000 0.5881  4 Ho 3.46, 4 La 3.56
Ho 0.5000 0.0000 0.4119  4 Ho 3.46, 4 La 3.56
La 0.5000 0.0000 0.7783  5 Zr 3.22-3.41, 4 Ho 3.56
La 0.0000 0.5000 0.2217  5 Zr 3.22-3.41, 4 Ho 3.56


# 10
This record from Alexandria describes a relaxed LaHoZr2 crystal. The functional is PBE-GGA.

Output
As for the energy of formation from the pure elements: 0.166 eV per atom.

Cell: 3.3750 3.3750 11.2488 Å, 81.37 81.37 60.00°
With the nearest neighbours (Å) after each atom.
Positions (direct):
La 0.5003 0.5003 0.4990  6 La 3.37, 6 Zr 3.44-3.47
Zr 0.2523 0.2523 0.2432  3 Ho 3.33, 6 Zr 3.37, 3 La 3.44
Zr 0.0805 0.0805 0.7584  3 Ho 3.31, 6 Zr 3.37, 3 La 3.47
Ho 0.6669 0.6669 0.9994  6 Zr 3.31-3.33, 6 Ho 3.37


# 11
This record from Alexandria describes a relaxed Li2Ho crystal. The functional is PBE-GGA.

Output
As for the energy of formation from the pure elements: 0.135 eV per atom.

Cell: 3.6137 3.6137 5.9182 Å, 107.78 107.78 90.00°
With the nearest neighbours (Å) after each atom.
Positions (direct):
Ho 0.0000 0.0000 0.0000  10 Li 3.27-3.31, 4 Ho 3.61
Li 0.6904 0.6904 0.3808  4 Li 2.85
Li 0.3096 0.3096 0.6192  4 Li 2.85


# 12
This record from Alexandria describes a relaxed Li2Ho crystal. The functional is PBE-GGA.

Output
As for the energy of formation from the pure elements: 0.121 eV per atom.

Cell: 5.8149 5.8149 5.8149 Å, 60.00 60.00 60.00°
With the nearest neighbours (Å) after each atom.
Positions (direct):
Li 0.6250 0.6250 0.6250  6 Li 2.91
Li 0.6250 0.6250 0.1250  6 Li 2.91
Li 0.1250 0.6250 0.6250  6 Li 2.91
Li 0.6250 0.1250 0.6250  6 Li 2.91
Ho 0.2500 0.2500 0.2500  12 Li 3.41, 4 Ho 3.56
Ho 0.0000 0.0000 0.0000  12 Li 3.41, 4 Ho 3.56